one:
A relaxed Ir2RhW crystal. Source: Alexandria via LeMat-Bulk, functional GGA-PBE. Values from VASP.

The structure in Quantum ESPRESSO input format:
```
&SYSTEM
  ibrav = 0, nat = 4, ntyp = 3
/
ATOMIC_SPECIES
Ir 192.22 Ir.upf
Rh 102.91 Rh.upf
W 183.84 W.upf
ATOMIC_POSITIONS crystal
Ir 0.000 0.000 0.000
Ir 0.500 0.500 0.245
Rh 0.000 0.000 0.495
W 0.500 0.500 0.751
CELL_PARAMETERS angstrom
3.336 0.000 0.000
0.000 3.336 0.000
0.000 0.000 5.453
```



two:
A relaxed Ir2RhW crystal. Source: Alexandria via LeMat-Bulk, functional GGA-PBE. Values from VASP.

The structure in Quantum ESPRESSO input format:
```
&SYSTEM
  ibrav = 0, nat = 8, ntyp = 3
/
ATOMIC_SPECIES
Ir 192.22 Ir.upf
Rh 102.91 Rh.upf
W 183.84 W.upf
ATOMIC_POSITIONS crystal
Ir 0.000 0.000 0.000
Ir 0.000 0.500 0.250
Ir 0.500 0.000 0.750
Ir 0.500 0.500 0.500
Rh 0.000 0.500 0.750
Rh 0.500 0.000 0.250
W 0.000 0.000 0.500
W 0.500 0.500 0.000
CELL_PARAMETERS angstrom
3.892 0.000 0.000
0.000 3.892 0.000
0.000 0.000 7.786
```



Stability, lowest: one



one:
A relaxed Ir2RhW2 crystal. Source: Alexandria via LeMat-Bulk, functional GGA-PBE. Values from VASP.

The structure in Quantum ESPRESSO input format:
```
&SYSTEM
  ibrav = 0, nat = 10, ntyp = 3
/
ATOMIC_SPECIES
Ir 192.22 Ir.upf
Rh 102.91 Rh.upf
W 183.84 W.upf
ATOMIC_POSITIONS crystal
Ir 0.128 0.372 0.000
Ir 0.372 0.872 0.000
Ir 0.628 0.128 0.000
Ir 0.872 0.628 0.000
Rh 0.000 0.000 0.000
Rh 0.500 0.500 0.000
W 0.169 0.669 0.500
W 0.331 0.169 0.500
W 0.669 0.831 0.500
W 0.831 0.331 0.500
CELL_PARAMETERS angstrom
7.522 0.000 0.000
0.000 7.522 0.000
0.000 0.000 2.815
```



two:
A relaxed Ir2RhW2 crystal. Source: Alexandria via LeMat-Bulk, functional GGA-PBE. Values from VASP.

The structure in Quantum ESPRESSO input format:
```
&SYSTEM
  ibrav = 0, nat = 10, ntyp = 3
/
ATOMIC_SPECIES
Ir 192.22 Ir.upf
Rh 102.91 Rh.upf
W 183.84 W.upf
ATOMIC_POSITIONS crystal
Ir 0.200 0.000 0.291
Ir 0.300 0.500 0.709
Ir 0.700 0.500 0.291
Ir 0.800 0.000 0.709
Rh 0.000 0.000 0.500
Rh 0.500 0.500 0.500
W 0.087 0.500 0.881
W 0.413 0.000 0.119
W 0.587 0.000 0.881
W 0.913 0.500 0.119
CELL_PARAMETERS angstrom
8.716 0.000 0.000
0.000 3.928 0.000
-4.323 0.000 4.400
```



Stability, lowest: one



one:
A relaxed Ir3Rh3W2 crystal. Source: Alexandria via LeMat-Bulk, functional GGA-PBE. Values from VASP.

The structure in Quantum ESPRESSO input format:
```
&SYSTEM
  ibrav = 0, nat = 8, ntyp = 3
/
ATOMIC_SPECIES
Ir 192.22 Ir.upf
Rh 102.91 Rh.upf
W 183.84 W.upf
ATOMIC_POSITIONS crystal
Ir 0.000 0.240 0.760
Ir 0.240 0.760 0.000
Ir 0.760 0.000 0.240
Rh 0.267 0.733 0.500
Rh 0.500 0.267 0.733
Rh 0.733 0.500 0.267
W 0.248 0.248 0.248
W 0.752 0.752 0.752
CELL_PARAMETERS angstrom
3.433 1.982 2.974
-3.433 1.982 2.974
0.000 -3.964 2.974
```



two:
A relaxed Ir3Rh3W2 crystal. Source: Alexandria via LeMat-Bulk, functional GGA-PBE. Values from VASP.

The structure in Quantum ESPRESSO input format:
```
&SYSTEM
  ibrav = 0, nat = 8, ntyp = 3
/
ATOMIC_SPECIES
Ir 192.22 Ir.upf
Rh 102.91 Rh.upf
W 183.84 W.upf
ATOMIC_POSITIONS crystal
Ir 0.000 0.000 0.000
Ir 0.000 0.000 0.500
Ir 0.500 0.500 0.000
Rh 0.000 0.500 0.249
Rh 0.000 0.500 0.751
Rh 0.500 0.500 0.500
W 0.500 0.000 0.251
W 0.500 0.000 0.749
CELL_PARAMETERS angstrom
3.884 0.000 0.000
0.000 3.904 0.000
0.000 0.000 7.730
```



Stability, lowest: one



one:
A relaxed IrRh2W2 crystal. Source: Alexandria via LeMat-Bulk, functional GGA-PBE. Values from VASP.

The structure in Quantum ESPRESSO input format:
```
&SYSTEM
  ibrav = 0, nat = 10, ntyp = 3
/
ATOMIC_SPECIES
Ir 192.22 Ir.upf
Rh 102.91 Rh.upf
W 183.84 W.upf
ATOMIC_POSITIONS crystal
Ir 0.000 0.000 0.000
Ir 0.500 0.500 0.000
Rh 0.125 0.375 0.000
Rh 0.375 0.875 0.000
Rh 0.625 0.125 0.000
Rh 0.875 0.625 0.000
W 0.174 0.674 0.500
W 0.326 0.174 0.500
W 0.674 0.826 0.500
W 0.826 0.326 0.500
CELL_PARAMETERS angstrom
7.384 0.000 0.000
0.000 7.384 0.000
0.000 0.000 2.833
```



two:
A relaxed IrRh2W2 crystal. Source: Alexandria via LeMat-Bulk, functional GGA-PBE. Values from VASP.

The structure in Quantum ESPRESSO input format:
```
&SYSTEM
  ibrav = 0, nat = 10, ntyp = 3
/
ATOMIC_SPECIES
Ir 192.22 Ir.upf
Rh 102.91 Rh.upf
W 183.84 W.upf
ATOMIC_POSITIONS crystal
Ir 0.000 0.000 0.000
Ir 0.500 0.500 0.000
Rh 0.000 0.192 0.000
Rh 0.000 0.808 0.000
Rh 0.500 0.308 0.000
Rh 0.500 0.692 0.000
W 0.000 0.395 0.500
W 0.000 0.605 0.500
W 0.500 0.105 0.500
W 0.500 0.895 0.500
CELL_PARAMETERS angstrom
3.999 0.000 0.000
0.000 13.758 0.000
0.000 0.000 2.752
```



Stability, lowest: one



one:
A relaxed Y3IrRh2 crystal. Source: Alexandria via LeMat-Bulk, functional GGA-PBE. Values from VASP.

The structure in Quantum ESPRESSO input format:
```
&SYSTEM
  ibrav = 0, nat = 6, ntyp = 3
/
ATOMIC_SPECIES
Y 88.91 Y.upf
Ir 192.22 Ir.upf
Rh 102.91 Rh.upf
ATOMIC_POSITIONS crystal
Y 0.000 0.000 0.000
Y 0.000 0.000 0.335
Y 0.000 0.000 0.665
Ir 0.500 0.500 0.500
Rh 0.500 0.500 0.165
Rh 0.500 0.500 0.835
CELL_PARAMETERS angstrom
3.442 0.000 0.000
0.000 3.442 0.000
0.000 0.000 10.294
```



two:
A relaxed Y3IrRh2 crystal. Source: Alexandria via LeMat-Bulk, functional GGA-PBE. Values from VASP.

The structure in Quantum ESPRESSO input format:
```
&SYSTEM
  ibrav = 0, nat = 12, ntyp = 3
/
ATOMIC_SPECIES
Y 88.91 Y.upf
Ir 192.22 Ir.upf
Rh 102.91 Rh.upf
ATOMIC_POSITIONS crystal
Y 0.000 0.000 0.249
Y 0.000 0.000 0.751
Y 0.333 0.667 0.416
Y 0.333 0.667 0.917
Y 0.667 0.333 0.083
Y 0.667 0.333 0.584
Ir 0.333 0.667 0.166
Ir 0.667 0.333 0.834
Rh 0.000 0.000 0.000
Rh 0.000 0.000 0.500
Rh 0.333 0.667 0.665
Rh 0.667 0.333 0.335
CELL_PARAMETERS angstrom
4.864 0.000 0.000
-2.432 4.212 0.000
0.000 0.000 11.887
```



Stability, lowest: one



one:
A relaxed Y3Ir2Rh crystal. Source: Alexandria via LeMat-Bulk, functional GGA-PBE. Values from VASP.

The structure in Quantum ESPRESSO input format:
```
&SYSTEM
  ibrav = 0, nat = 6, ntyp = 3
/
ATOMIC_SPECIES
Y 88.91 Y.upf
Ir 192.22 Ir.upf
Rh 102.91 Rh.upf
ATOMIC_POSITIONS crystal
Y 0.000 0.000 0.000
Y 0.000 0.000 0.332
Y 0.000 0.000 0.668
Ir 0.500 0.500 0.168
Ir 0.500 0.500 0.832
Rh 0.500 0.500 0.500
CELL_PARAMETERS angstrom
3.442 0.000 0.000
0.000 3.442 0.000
0.000 0.000 10.301
```



two:
A relaxed Y3Ir2Rh crystal. Source: Alexandria via LeMat-Bulk, functional GGA-PBE. Values from VASP.

The structure in Quantum ESPRESSO input format:
```
&SYSTEM
  ibrav = 0, nat = 12, ntyp = 3
/
ATOMIC_SPECIES
Y 88.91 Y.upf
Ir 192.22 Ir.upf
Rh 102.91 Rh.upf
ATOMIC_POSITIONS crystal
Y 0.000 0.000 0.000
Y 0.000 0.332 0.000
Y 0.000 0.668 0.000
Y 0.500 0.168 0.000
Y 0.500 0.500 0.000
Y 0.500 0.832 0.000
Ir 0.000 0.166 0.500
Ir 0.000 0.834 0.500
Ir 0.500 0.334 0.500
Ir 0.500 0.666 0.500
Rh 0.000 0.500 0.500
Rh 0.500 0.000 0.500
CELL_PARAMETERS angstrom
4.788 0.000 0.000
0.000 14.369 0.000
0.000 0.000 3.540
```



Stability, lowest: one